[1]
LaSiAu | PBE | relaxed

```
LaSiAu
1.0
4.314 0.000 0.000
0.000 4.164 0.000
-0.011 0.000 7.862
La Si Au
2 2 2
Cartesian
1.077 0.000 1.814
3.226 0.000 6.048
1.066 2.082 7.308
3.237 2.082 0.553
1.073 2.082 4.794
3.231 2.082 3.068
```

Values from the calculation:
SG	No. 10
total magnetization	0.0	Bohr magnetons per cell
E_tot	-5.3111	eV per atom
ΔE_f (raw)	-768	meV per atom



[2]
LiHfSe2 | PBE | relaxed

```
LiHfSe2
1.0
3.714 0.000 0.000
-1.857 3.216 0.000
0.000 0.000 6.681
Li Hf Se
1 1 2
Cartesian
0.000 0.000 0.000
0.000 0.000 3.341
0.000 2.144 5.003
1.857 1.072 1.678
```

Values from the calculation:
SG	No. 164
total magnetization	0.0	Bohr magnetons per cell
E_tot	-6.0104	eV per atom
ΔE_f (raw)	-1301	meV per atom



[3]
Mg2PIr | PBE | relaxed

```
Mg2PIr
1.0
2.722 -3.813 0.000
2.722 3.813 0.000
0.000 0.000 2.984
Mg P Ir
2 1 1
Cartesian
1.361 1.907 0.000
1.361 -1.907 0.000
0.000 0.000 1.492
2.722 0.000 1.492
```

Values from the calculation:
SG	No. 65
total magnetization	0.0	Bohr magnetons per cell
E_tot	-4.6542	eV per atom
energy of formation from the pure elements	-289	meV/atom



[4]
ZrV3Te6 | PBE | relaxed

```
ZrV3Te6
1.0
11.422 0.000 0.000
0.000 4.042 0.000
-3.758 0.000 10.907
Zr V Te
2 6 12
Cartesian
-0.107 1.011 2.276
7.770 3.032 8.630
-0.300 1.011 6.335
-0.073 3.032 10.826
3.676 1.011 3.805
3.988 3.032 7.102
7.736 1.011 0.081
7.964 3.032 4.572
-0.668 3.032 4.437
-2.355 1.011 10.525
-0.613 3.032 8.133
2.229 3.032 2.377
2.363 1.011 6.224
4.994 1.011 1.237
2.669 3.032 9.670
5.301 3.032 4.682
5.435 1.011 8.529
8.277 1.011 2.774
10.019 3.032 0.381
8.332 1.011 6.470
```

Values from the calculation:
SG	No. 11
total magnetization	14.0	Bohr magnetons per cell
E_tot	-5.8561	eV per atom
ΔE_f (raw)	-381	meV per atom